Entry from the Alexandria database: crystalline ErBe2B2O7 at its relaxed geometry (GGA-PBE).

Calculated values
Magnetization (μB/atom): 0.086
Formation energy from raw total energies (kJ per mole of atoms): -246.37

```
ErBe2B2O7
1.0
4.690 0.000 0.000
2.345 4.061 0.000
2.345 1.354 6.692
O Be Er B
7 2 1 2
Direct
0.500 0.500 0.500 O
0.319 0.912 0.211 O
0.088 0.681 0.789 O
0.681 0.442 0.789 O
0.558 0.319 0.211 O
0.912 0.558 0.211 O
0.442 0.088 0.789 O
0.746 0.746 0.762 Be
0.254 0.254 0.238 Be
0.000 0.000 0.000 Er
0.427 0.427 0.718 B
0.573 0.573 0.282 B
```